Compound: LiMnFeMo2
Source: Alexandria via LeMat-Bulk
Functional: PBE-GGA
Structure: relaxed

Unit cell a=4.385 b=4.385 c=4.066 alpha=90.00 beta=90.00 gamma=90.00
Element x y z (fractional)
Li (0.000, 0.000, 0.000)
Mn (0.000, 0.000, 0.500)
Fe (0.500, 0.500, 0.000)
Mo (0.000, 0.500, 0.500)
Mo (0.500, 0.000, 0.500)

Summary:
SG: P4/mmm, No. 123
Energy relative to the elements (eV per atom): 1.43
Total moment (Bohr magnetons per cell): 0.168

***

Compound: ErTl2AgI6
Source: Alexandria via LeMat-Bulk
Functional: PBE-GGA
Structure: relaxed

Unit cell a=8.052 b=8.584 c=13.939 alpha=90.00 beta=124.53 gamma=90.00
Element x y z (fractional)
Er (0.000, 0.000, 0.000)
Er (0.000, 0.500, 0.500)
Tl (0.289, 0.094, 0.755)
Tl (0.289, 0.406, 0.255)
Tl (0.711, 0.594, 0.745)
Tl (0.711, 0.906, 0.245)
Ag (0.500, 0.000, 0.500)
Ag (0.500, 0.500, 0.000)
I (0.140, 0.020, 0.252)
I (0.140, 0.480, 0.752)
I (0.234, 0.700, 0.052)
I (0.234, 0.800, 0.552)
I (0.359, 0.188, 0.052)
I (0.359, 0.312, 0.552)
I (0.641, 0.688, 0.448)
I (0.641, 0.812, 0.948)
I (0.766, 0.200, 0.448)
I (0.766, 0.300, 0.948)
I (0.860, 0.520, 0.248)
I (0.860, 0.980, 0.748)

Summary:
SG: P2_1/c, No. 14
Total moment (Bohr magnetons per cell): 0.000
ΔE_f (raw) (eV/atom): -0.841

***

Question: Look up the total moment of the second one.
Answer: 0.000 Bohr magnetons per cell

***

Question: Which formula does entry 1 have?
Answer: LiMnFeMo2

***

Question: Which value of total moment does entry 2 give?
Answer: 0.000 Bohr magnetons per cell